Record 1
## Ca3SbI3 (GGA-PBE)

Data for crystalline Ca3SbI3 at its relaxed geometry.

Unit cell a=11.155 b=11.155 c=11.155 alpha=109.47 beta=109.47 gamma=109.47
Fractional coordinates of all 28 atoms:
Ca 0.009 0.019 0.259
Ca 0.009 0.491 0.750
Ca 0.019 0.259 0.009
Ca 0.241 0.259 0.750
Ca 0.241 0.481 0.491
Ca 0.259 0.009 0.019
Ca 0.259 0.750 0.241
Ca 0.481 0.491 0.241
Ca 0.491 0.241 0.481
Ca 0.491 0.750 0.009
Ca 0.750 0.009 0.491
Ca 0.750 0.241 0.259
Sb 0.000 0.250 0.500
Sb 0.250 0.250 0.250
Sb 0.250 0.500 0.000
Sb 0.500 0.000 0.250
I 0.000 0.000 0.750
I 0.000 0.500 0.250
I 0.000 0.750 0.000
I 0.250 0.000 0.500
I 0.250 0.750 0.750
I 0.500 0.250 0.000
I 0.500 0.500 0.750
I 0.500 0.750 0.500
I 0.750 0.000 0.000
I 0.750 0.250 0.750
I 0.750 0.500 0.500
I 0.750 0.750 0.250

Summary:
VASP energy in eV/atom: -3.54
Crystal system: cubic

Record 2
## K2NaLi (GGA-PBE)

Data for crystalline K2NaLi at its relaxed geometry.

Unit cell a=4.204 b=4.204 c=13.125 alpha=99.73 beta=99.73 gamma=60.03
Fractional coordinates of all 4 atoms:
K 0.000 0.000 0.000
K 0.158 0.158 0.471
Na 0.579 0.579 0.735
Li 0.411 0.411 0.236

Summary:
Offset from the most stable computed form in meV/atom: 38
VASP energy in eV/atom: -1.22
Formation energy in eV per atom: 0.1366
Crystal system: monoclinic

Record 3
## YP2CS (GGA-PBE)

Data for crystalline YP2CS at its relaxed geometry.

Unit cell a=3.972 b=3.972 c=5.157 alpha=90.00 beta=90.00 gamma=90.00
Fractional coordinates of all 5 atoms:
Y 0.000 0.000 0.000
P 0.000 0.500 0.500
P 0.500 0.000 0.500
C 0.500 0.500 0.500
S 0.500 0.500 0.000

Summary:
Offset from the most stable computed form in meV/atom: 0
VASP energy in eV/atom: -5.87
Crystal system: tetragonal

Question: Among the records above, which one has the highest VASP energy?
Answer: K2NaLi

Copy entry 3 word for word.
## YP2CS (GGA-PBE)

Data for crystalline YP2CS at its relaxed geometry.

Unit cell a=3.972 b=3.972 c=5.157 alpha=90.00 beta=90.00 gamma=90.00
Fractional coordinates of all 5 atoms:
Y 0.000 0.000 0.000
P 0.000 0.500 0.500
P 0.500 0.000 0.500
C 0.500 0.500 0.500
S 0.500 0.500 0.000

Summary:
Offset from the most stable computed form in meV/atom: 0
VASP energy in eV/atom: -5.87
Crystal system: tetragonal

Question: Among the records above, which one has the lowest VASP energy?
Answer: YP2CS